No. 1
# ScZn2Pb GGA-PBE relaxed
# calculated formation energy = -12.2 kJ/mol of atoms
# calculated total energy = -3.274 eV/atom
data_ScZn2Pb
_cell_length_a 4.2472
_cell_length_b 4.2472
_cell_length_c 9.0660
_cell_angle_alpha 90.00
_cell_angle_beta 90.00
_cell_angle_gamma 90.00
_space_group_name_H-M_alt 'I 4/m m m'
_space_group_IT_number 139
_space_group_name_Hall '-I 4 2'
loop_
_atom_site_label
_atom_site_type_symbol
_atom_site_fract_x
_atom_site_fract_y
_atom_site_fract_z
Sc1 Sc 0.0000 0.0000 0.0000
Zn1 Zn 0.0000 0.5000 0.2500
Pb1 Pb 0.0000 0.0000 0.5000

---

No. 2
# ScZnPb2 GGA-PBE relaxed
# calculated formation energy = -8.4 kJ/mol of atoms
# calculated total energy = -3.843 eV/atom
data_ScZnPb2
_cell_length_a 3.4346
_cell_length_b 3.4346
_cell_length_c 8.5058
_cell_angle_alpha 90.00
_cell_angle_beta 90.00
_cell_angle_gamma 90.00
_space_group_name_H-M_alt 'P 4 m m'
_space_group_IT_number 99
_space_group_name_Hall 'P 4 -2'
loop_
_atom_site_label
_atom_site_type_symbol
_atom_site_fract_x
_atom_site_fract_y
_atom_site_fract_z
Sc1 Sc 0.0000 0.0000 0.0000
Zn1 Zn 0.5000 0.5000 0.1838
Pb1 Pb 0.0000 0.0000 0.4193
Pb2 Pb 0.5000 0.5000 0.7440

---

No. 3
# ScZn2Pb GGA-PBE relaxed
# calculated formation energy = -6.7 kJ/mol of atoms
# calculated total energy = -3.217 eV/atom
data_ScZn2Pb
_cell_length_a 10.3089
_cell_length_b 3.3243
_cell_length_c 5.1334
_cell_angle_alpha 90.00
_cell_angle_beta 104.90
_cell_angle_gamma 90.00
_space_group_name_H-M_alt 'C 1 2/m 1'
_space_group_IT_number 12
_space_group_name_Hall '-C 2y'
loop_
_atom_site_label
_atom_site_type_symbol
_atom_site_fract_x
_atom_site_fract_y
_atom_site_fract_z
Sc1 Sc 0.0000 0.0000 0.0000
Zn1 Zn 0.2412 0.5000 0.2171
Pb1 Pb 0.0000 0.5000 0.5000

---

No. 4
# ScZnPb2 GGA-PBE relaxed
# calculated formation energy = 1.1 kJ/mol of atoms
# calculated total energy = -3.744 eV/atom
data_ScZnPb2
_cell_length_a 3.5809
_cell_length_b 3.5809
_cell_length_c 27.3035
_cell_angle_alpha 90.00
_cell_angle_beta 90.00
_cell_angle_gamma 120.00
_space_group_name_H-M_alt 'R -3 m'
_space_group_IT_number 166
_space_group_name_Hall '-R 3 2"'
loop_
_atom_site_label
_atom_site_type_symbol
_atom_site_fract_x
_atom_site_fract_y
_atom_site_fract_z
Sc1 Sc 0.0000 0.0000 0.0000
Zn1 Zn 0.0000 0.0000 0.5000
Pb1 Pb 0.0000 0.0000 0.2448

---

No. 5
# ScZn2Pb GGA-PBE relaxed
# calculated formation energy = 3.1 kJ/mol of atoms
# calculated total energy = -3.115 eV/atom
data_ScZn2Pb
_cell_length_a 7.8114
_cell_length_b 7.8114
_cell_length_c 5.8528
_cell_angle_alpha 90.00
_cell_angle_beta 90.00
_cell_angle_gamma 90.00
_space_group_name_H-M_alt 'I -4 2 d'
_space_group_IT_number 122
_space_group_name_Hall 'I -4 2bw'
loop_
_atom_site_label
_atom_site_type_symbol
_atom_site_fract_x
_atom_site_fract_y
_atom_site_fract_z
Sc1 Sc 0.0000 0.0000 0.0000
Zn1 Zn 0.2481 0.2500 0.6250
Pb1 Pb 0.0000 0.0000 0.5000

---

No. 6
# ScZnPb2 GGA-PBE relaxed
# calculated formation energy = 4.3 kJ/mol of atoms
# calculated total energy = -3.710 eV/atom
data_ScZnPb2
_cell_length_a 7.9925
_cell_length_b 7.9925
_cell_length_c 6.3339
_cell_angle_alpha 90.00
_cell_angle_beta 90.00
_cell_angle_gamma 90.00
_space_group_name_H-M_alt 'I -4 2 d'
_space_group_IT_number 122
_space_group_name_Hall 'I -4 2bw'
loop_
_atom_site_label
_atom_site_type_symbol
_atom_site_fract_x
_atom_site_fract_y
_atom_site_fract_z
Sc1 Sc 0.0000 0.0000 0.0000
Zn1 Zn 0.0000 0.0000 0.5000
Pb1 Pb 0.2181 0.7500 0.6250